Entry 1:
ZrCd2Sb2: optimized geometry, PBE.

POSCAR file:
```
ZrCd2Sb2
1.0
-2.1526 -7.4420 1.5922
5.0692 -0.1679 6.0686
-2.7883 1.3126 2.3654
Sb Zr Cd
4 2 4
Cartesian
1.6657 -0.7981 5.5966 Sb
1.2983 -4.5426 7.2413 Sb
-1.5374 -5.4993 4.4296 Sb
-1.1699 -1.7548 2.7849 Sb
0.0000 0.0000 0.0000 Zr
1.4583 -3.8050 3.8304 Zr
3.6266 -2.9331 5.9024 Cd
1.2891 -6.6123 5.1888 Cd
-0.7100 -4.6769 1.7583 Cd
1.6275 -0.9976 2.4720 Cd
```

## Properties
Formation energy without anion corrections = 98.0 meV per atom


Entry 2:
Li2PaTiS4: optimized geometry, PBE.

POSCAR file:
```
Li2PaTiS4
1.0
-2.2021 2.9564 0.6014
-1.6517 -2.3690 5.5983
5.3524 3.8180 0.8293
Li Pa Ti S
2 1 1 4
Cartesian
1.5752 3.3872 0.7153 Li
1.8504 0.7245 3.2138 Li
0.0000 0.0000 0.0000 Pa
-1.9269 0.2937 3.0998 Ti
-0.1687 1.8251 2.0095 S
1.6674 2.5803 5.0195 S
3.6143 2.2572 2.1379 S
0.0865 -0.8082 4.2897 S
```

## Properties
Formation energy without anion corrections = -1445.6 meV per atom


Entry 3:
LaZr3Sc: optimized geometry, PBE.

POSCAR file:
```
LaZr3Sc
1.0
-2.2311 2.4897 3.9399
-3.8937 -3.3963 -0.0587
2.5614 -2.9942 3.3426
Sc Zr La
1 3 1
Cartesian
-1.7817 -1.9504 3.6119 Sc
-1.9468 -1.6982 -0.0293 Zr
1.2807 -1.4971 1.6713 Zr
-1.1155 1.2449 1.9700 Zr
0.0000 0.0000 0.0000 La
```

## Properties
Total DFT energy (no corrections) = -6.3419 eV/atom


Entry 4:
Tb3Zn7Cu2: optimized geometry, PBE.

POSCAR file:
```
Tb3Zn7Cu2
1.0
-3.2514 -3.2196 -2.7966
-2.8836 -3.7492 2.5272
-8.4914 3.3132 0.9163
Tb Zn Cu
3 7 2
Cartesian
0.0000 0.0000 0.0000 Tb
-8.8638 -4.5829 0.1565 Tb
-5.7625 0.9273 0.4904 Tb
-7.3132 -1.8278 0.3235 Zn
-6.2417 -3.7510 -1.3072 Zn
-6.0557 -4.0188 1.3839 Zn
-4.5981 -2.1236 0.1064 Zn
-8.3846 0.0954 1.9541 Zn
-10.0282 -1.5320 0.5405 Zn
-8.5706 0.3632 -0.7370 Zn
-4.1089 -4.6293 -0.1766 Cu
-10.5174 0.9737 0.8235 Cu
```

## Properties
Total DFT energy (no corrections) = -2.8794 eV/atom


Entry 5:
NaNd2USe4: optimized geometry, PBE.

POSCAR file:
```
NaNd2USe4
1.0
-3.0041 1.1008 2.6630
-5.0251 -1.3439 -5.1133
1.1724 -6.0598 3.8274
Na Nd U Se
1 2 1 4
Cartesian
-4.0146 -0.1216 -1.2251 Na
-0.9159 -2.4795 3.2452 Nd
-1.9264 -3.7019 -0.6429 Nd
0.0000 0.0000 0.0000 U
-2.4582 -1.2407 0.9932 Se
-4.3986 -5.0623 0.3839 Se
-0.3647 -4.9138 1.6197 Se
-3.4880 -2.4899 -2.9056 Se
```

## Properties
Formation energy without anion corrections = -1519.9 meV per atom


Entry 6:
SbBrN3: optimized geometry, PBE.

POSCAR file:
```
SbBrN3
1.0
-0.8159 0.9856 3.8786
-1.9107 -3.5740 0.5063
3.5163 -1.7134 1.1750
Sb Br N
1 1 3
Cartesian
0.0000 0.0000 0.0000 Sb
0.3949 -2.1509 2.7800 Br
-0.9554 -1.7870 0.2532 N
1.7581 -0.8567 0.5875 N
-0.4079 0.4928 1.9393 N
```

## Properties
Formation energy without anion corrections = 2006.6 meV per atom


Entry 7:
Be3HgOs: optimized geometry, PBE.

POSCAR file:
```
Be3HgOs
1.0
-1.4954 -1.7466 -3.6049
3.8536 0.4234 -1.8036
1.0938 -3.8797 1.4261
Be Os Hg
3 1 1
Cartesian
1.9268 0.2117 -0.9018 Be
0.5469 -1.9399 0.7130 Be
-0.7477 -0.8733 -1.8025 Be
0.0000 0.0000 0.0000 Os
1.7260 -2.6015 -1.9912 Hg
```

## Properties
Total DFT energy (no corrections) = -3.8240 eV/atom


Entry 8:
InRu2Se: optimized geometry, PBE.

POSCAR file:
```
InRu2Se
1.0
-1.8362 0.2072 5.2293
-2.9991 -2.3247 4.0449
3.2815 -2.4741 2.0671
In Ru Se
1 2 1
Cartesian
-0.0419 -1.2016 2.6098 In
2.4986 -2.2126 2.2769 Ru
-1.1347 -3.6243 8.8621 Ru
-0.3712 -2.3230 5.3304 Se
```

## Properties
Formation energy without anion corrections = 171.8 meV per atom


Entry 9:
Rb2InBi2O6: optimized geometry, PBE.

POSCAR file:
```
Rb2InBi2O6
1.0
-0.3246 -5.6570 -2.1261
1.7292 0.9498 5.7215
-6.8359 1.1181 0.8477
Rb In Bi O
2 1 2 6
Cartesian
0.0172 -4.5575 -0.8201 Rb
1.3874 -0.1497 4.4155 Rb
-3.4180 0.5590 0.4239 In
-2.3762 -0.7026 3.5186 Bi
-3.0551 -2.8865 0.9245 Bi
-3.5578 -2.7715 3.2644 O
-3.9459 0.8398 2.6396 O
-1.8735 -0.8176 1.1787 O
-4.6274 -1.3524 0.0357 O
-1.4854 -4.4289 1.8035 O
-0.8040 -2.2367 4.4073 O
```

## Properties
Formation energy without anion corrections = -1292.8 meV per atom


Entry 10:
ErPd6Au23: optimized geometry, PBE.

POSCAR file:
```
ErPd6Au23
1.0
7.0515 0.0000 4.0712
1.3174 8.1093 5.8606
-1.0331 1.4611 9.9318
Er Pd Au
1 6 23
Cartesian
3.6679 4.7852 9.9318 Er
5.9967 6.4319 9.9318 Pd
1.3391 3.1384 9.9318 Pd
5.3516 2.4040 7.0155 Pd
1.9842 7.1663 12.8481 Pd
4.8323 3.1385 11.9486 Pd
2.5035 6.4319 7.9150 Pd
4.4381 1.2084 4.5356 Au
2.8976 8.3619 15.3279 Au
0.4076 1.9110 7.4363 Au
0.9045 1.2084 2.4955 Au
6.9281 7.6593 12.4273 Au
6.4313 8.3619 17.3681 Au
1.5855 5.2425 5.3961 Au
5.7502 4.3278 14.4674 Au
4.1844 4.0546 4.9659 Au
-0.5166 0.7305 4.9659 Au
3.5257 0.0000 2.0356 Au
0.1421 4.7852 7.8962 Au
3.0092 0.7305 7.0015 Au
0.6587 4.0546 2.9303 Au
6.3371 3.5560 9.4656 Au
0.9986 6.0144 10.3980 Au
2.1987 4.3172 12.4765 Au
2.7369 3.5560 7.3870 Au
5.1371 5.2531 7.3870 Au
4.5988 6.0144 12.4765 Au
3.3987 7.7115 10.3980 Au
3.9370 1.8588 9.4656 Au
0.0000 0.0000 0.0000 Au
```

## Properties
Total DFT energy (no corrections) = -3.8486 eV/atom


Entry 11:
K2NiOs: optimized geometry, PBE.

POSCAR file:
```
K2NiOs
1.0
2.7437 0.0000 0.0000
0.0000 2.7437 0.0000
0.0000 0.0000 10.7826
K Ni Os
2 1 1
Cartesian
0.0000 0.0000 0.0933 K
0.0000 0.0000 5.2980 K
1.3718 1.3718 2.6956 Ni
1.3718 1.3718 8.0869 Os
```

## Properties
Total DFT energy (no corrections) = -3.5658 eV/atom


Entry 12:
CdHgSe2: optimized geometry, PBE.

POSCAR file:
```
CdHgSe2
1.0
-3.9405 0.5865 10.3235
-0.6000 0.4349 11.0407
-2.0581 3.4417 10.3133
Cd Hg Se
1 1 2
Cartesian
-1.6496 1.1158 7.9194 Cd
-4.9489 3.3473 23.7582 Hg
-6.4520 4.3640 30.9738 Se
-3.4459 2.3307 16.5425 Se
```

## Properties
Formation energy without anion corrections = 79.2 meV per atom


Entry 13:
Ac2AuSe: optimized geometry, PBE.

POSCAR file:
```
Ac2AuSe
1.0
5.5297 0.0000 0.0000
2.7649 4.7889 0.0000
2.7649 1.5963 4.5150
Ac Au Se
2 1 1
Cartesian
2.7649 1.5963 1.1288 Ac
8.2946 4.7889 3.3863 Ac
5.5297 3.1926 2.2575 Au
0.0000 0.0000 0.0000 Se
```

## Properties
Formation energy without anion corrections = -1000.4 meV per atom


Entry 14:
LaNbZn2: optimized geometry, PBE.

POSCAR file:
```
LaNbZn2
1.0
-3.0751 -3.6886 1.0487
0.2141 -2.2062 4.3873
-3.6139 0.6658 3.2647
Nb Zn La
1 2 1
Cartesian
0.0000 0.0000 0.0000 Nb
-1.6187 -1.3073 2.1752 Zn
-4.8561 -3.9218 6.5256 Zn
-3.2374 -2.6145 4.3504 La
```

## Properties
Total DFT energy (no corrections) = -4.2632 eV/atom


Entry 15:
Sm2GaFeCo6: optimized geometry, PBE.

POSCAR file:
```
Sm2GaFeCo6
1.0
6.2312 -0.0004 0.0000
0.0004 6.2312 0.0000
3.1158 3.1154 4.4061
Sm Ga Fe Co
2 1 1 6
Cartesian
3.1160 6.2310 2.2031 Sm
6.2314 3.1152 2.2031 Sm
0.0000 0.0000 0.0000 Ga
3.1158 3.1154 0.0000 Fe
1.5911 4.6403 0.0000 Co
7.7563 7.7554 4.4062 Co
3.1158 3.1154 2.1564 Co
4.6405 1.5905 0.0000 Co
1.5910 1.5908 0.0000 Co
6.2315 6.2308 2.2498 Co
```

## Properties
Total DFT energy (no corrections) = -5.9801 eV/atom


Entry 16:
PmSmIr4: optimized geometry, PBE.

POSCAR file:
```
PmSmIr4
1.0
-1.6102 0.2767 -5.1647
-4.2619 -2.8983 -1.6673
-4.6429 2.4899 -1.2599
Ir Sm Pm
4 1 1
Cartesian
-4.2506 -1.3270 -4.4274 Ir
-4.4411 1.3665 -4.2237 Ir
-6.5716 -0.0823 -5.0572 Ir
-5.7666 -0.2206 -2.4754 Ir
-2.6287 -0.0329 -2.0230 Sm
0.0000 0.0000 0.0000 Pm
```

## Properties
Total DFT energy (no corrections) = -8.2201 eV/atom


Entry 17:
CeTmCu: optimized geometry, PBE.

POSCAR file:
```
CeTmCu
1.0
3.3175 0.0000 0.0000
0.0000 4.7370 0.0000
-1.6587 0.0000 8.6526
Cu Tm Ce
2 2 2
Cartesian
0.0000 1.1843 7.6756 Cu
1.6587 3.5528 0.9770 Cu
1.6587 3.5528 7.3362 Tm
0.0000 1.1843 1.3164 Tm
1.6587 1.1843 4.8450 Ce
0.0000 3.5528 3.8076 Ce
```

## Properties
Total DFT energy (no corrections) = -4.9295 eV/atom


Entry 18:
CsCeSnSe3: optimized geometry, PBE.

POSCAR file:
```
CsCeSnSe3
1.0
-0.6029 -2.3043 -3.6721
-6.2418 -5.3258 4.3669
-5.5648 9.2565 -4.8949
Cs Ce Sn Se
2 2 2 6
Cartesian
-9.3117 0.9563 -2.9840 Cs
-3.0979 0.6701 -1.2162 Cs
-5.0151 -2.5950 1.1476 Ce
-7.3945 4.2214 -5.3477 Ce
-4.1825 3.9093 -3.0707 Sn
-8.2271 -2.2829 -1.1294 Sn
-6.5651 -0.3243 -0.0228 Se
-7.1409 -4.4421 0.0472 Se
-3.6447 -2.9621 -1.4556 Se
-5.8445 1.9507 -4.1773 Se
-8.7649 4.5885 -2.7445 Se
-5.2687 6.0685 -4.2473 Se
```

## Properties
Formation energy without anion corrections = -1267.8 meV per atom


Entry 19:
NaTiS2: optimized geometry, PBE.

POSCAR file:
```
NaTiS2
1.0
0.0000 3.2101 3.2101
3.2101 0.0000 3.2101
3.2101 3.2101 0.0000
Na S Ti
1 2 1
Cartesian
0.0000 0.0000 0.0000 Na
1.6050 1.6050 1.6050 S
4.8151 4.8151 4.8151 S
3.2101 3.2101 3.2101 Ti
```

## Properties
Formation energy without anion corrections = -775.4 meV per atom


Entry 20:
PmNd5Sm2Y: optimized geometry, PBE.

POSCAR file:
```
PmNd5Sm2Y
1.0
8.9076 0.0000 0.0000
0.0000 8.9076 0.0000
-4.4538 -4.4538 7.9485
Pm Nd Sm Y
2 10 4 2
Cartesian
0.0000 0.0000 3.9742 Pm
4.4538 4.4538 3.9742 Pm
7.0356 2.5818 2.2051 Nd
2.5818 -1.8720 5.7434 Nd
-2.5818 1.8720 5.7434 Nd
-1.8720 -2.5818 5.7434 Nd
1.8720 2.5818 5.7434 Nd
6.3259 7.0356 2.2051 Nd
2.5818 1.8720 2.2051 Nd
1.8720 6.3259 2.2051 Nd
4.4538 4.4538 0.0000 Nd
0.0000 0.0000 0.0000 Nd
1.0384 3.4154 0.0000 Sm
5.4922 1.0384 0.0000 Sm
3.4154 7.8693 0.0000 Sm
7.8693 5.4922 0.0000 Sm
0.0000 4.4538 3.9742 Y
4.4538 0.0000 3.9742 Y
```

## Properties
Total DFT energy (no corrections) = -4.6646 eV/atom


Entry 21:
Cs2RbNaSe: optimized geometry, PBE.

POSCAR file:
```
Cs2RbNaSe
1.0
7.4000 0.0000 0.0000
0.0000 7.4000 0.0000
0.0000 0.0000 5.7287
Cs Na Se Rb
2 1 1 1
Cartesian
0.0000 3.7000 0.0000 Cs
3.7000 0.0000 0.0000 Cs
0.0000 0.0000 2.8644 Na
0.0000 0.0000 0.0000 Se
3.7000 3.7000 2.8644 Rb
```

## Properties
Formation energy without anion corrections = -516.5 meV per atom


Entry 22:
Na3AsSe4: optimized geometry, PBE.

POSCAR file:
```
Na3AsSe4
1.0
-2.3963 6.5823 -1.6112
-6.7216 -2.5259 -0.3224
-0.8615 1.3992 6.9975
Na As Se
3 1 4
Cartesian
-0.4307 0.6996 3.4987 Na
-3.3608 -1.2630 -0.1612 Na
-1.1981 3.2911 -0.8056 Na
0.0000 0.0000 0.0000 As
-1.8886 1.0325 0.9583 Se
-6.6015 0.3322 5.1069 Se
-3.9133 5.9929 4.3059 Se
-7.5554 3.5535 -0.2434 Se
```

## Properties
Formation energy without anion corrections = -679.3 meV per atom


Entry 23:
Ba2NpBr8: optimized geometry, PBE.

POSCAR file:
```
Ba2NpBr8
1.0
-3.4231 3.3868 -1.6039
2.8163 -0.2184 -6.4718
-6.3077 -9.5000 1.4321
Ba Np Br
2 1 8
Cartesian
-0.8401 -2.8021 -4.1240 Ba
-6.0743 -3.5295 -2.5195 Ba
-1.7117 1.6936 -0.8020 Np
-1.0166 -0.1928 -6.2680 Br
-4.4510 -6.2512 -3.7008 Br
-3.0628 -3.6665 -1.2056 Br
-9.0771 -6.1638 -1.6733 Br
-3.8516 -2.6650 -5.4379 Br
-2.4634 -0.0804 -2.9428 Br
-5.8978 -6.1388 -0.3756 Br
-1.2603 3.2189 -6.5740 Br
```

## Properties
Formation energy without anion corrections = -1670.4 meV per atom


Entry 24:
LiLa2Re2N6: optimized geometry, PBE.

POSCAR file:
```
LiLa2Re2N6
1.0
5.6725 0.0000 0.0000
2.8362 4.9125 0.0000
2.8362 1.6375 6.1163
Li La Re N
1 2 2 6
Cartesian
0.0000 0.0000 0.0000 Li
8.5087 4.9125 3.8017 La
2.8362 1.6375 2.3146 La
5.6725 3.2750 4.9445 Re
5.6725 3.2750 1.1718 Re
7.1277 4.1152 1.7758 N
4.2172 4.1152 1.7758 N
5.6725 1.5947 1.7758 N
5.6725 4.9553 4.3405 N
7.1277 2.4348 4.3405 N
4.2172 2.4348 4.3405 N
```

## Properties
Formation energy without anion corrections = -494.4 meV per atom


What did we get for volume? Answer: 24.3; 18.5; 27.6; 17.9; 26.0; 13.6; 15.6; 18.3; 19.4; 18.3; 20.3; 27.6; 29.9; 21.0; 17.1; 18.7; 22.7; 38.0; 16.5; 35.0; 62.7; 46.4; 34.7; 15.5 Å³ per atom, in the order shown.